K3Cd4Pt4 after structural relaxation. Source: the Alexandria database, functional GGA-PBE.

abc: 7.265 7.265 7.265
angles: 109.47 109.47 109.47
Element x y z (fractional)
Pt 0.000 0.000 0.234
Pt 0.000 0.234 0.000
K 0.500 0.000 0.500
Cd 0.000 0.600 0.000
K 0.500 0.500 0.000
Pt 0.234 0.000 0.000
K 0.000 0.500 0.500
Cd 0.600 0.000 0.000
Cd 0.000 0.000 0.600
Cd 0.400 0.400 0.400
Pt 0.766 0.766 0.766

Si4OsRu3 after structural relaxation. Source: the Alexandria database, functional GGA-PBE.

abc: 2.941 2.941 11.762
angles: 90.00 90.00 90.00
Element x y z (fractional)
Ru 0.500 0.500 0.500
Ru 0.500 0.500 0.749
Ru 0.500 0.500 0.251
Os 0.500 0.500 0.000
Si 0.000 0.000 0.126
Si 0.000 0.000 0.375
Si 0.000 0.000 0.874
Si 0.000 0.000 0.625

Results
- uncorrected formation energy (meV/atom) = -570

SbPOs2 after structural relaxation. Source: the Alexandria database, functional GGA-PBE.

abc: 2.997 4.225 5.184
angles: 90.00 90.00 90.00
Element x y z (fractional)
Os 0.000 0.000 0.000
Os 0.500 0.000 0.500
P 0.500 0.500 0.000
Sb 0.000 0.500 0.500

Results
- uncorrected formation energy (meV/atom) = 880
- energy above the most stable polymorph in this dataset (meV per atom) = 785

TaV2Cu after structural relaxation. Source: the Alexandria database, functional GGA-PBE.

abc: 4.335 4.335 4.335
angles: 60.00 60.00 60.00
Element x y z (fractional)
V 0.250 0.250 0.250
Ta 0.500 0.500 0.500
V 0.750 0.750 0.750
Cu 0.000 0.000 0.000

Results
- energy above the most stable polymorph in this dataset (meV per atom) = 60

Rh2PbW after structural relaxation. Source: the Alexandria database, functional GGA-PBE.

abc: 3.350 3.350 6.227
angles: 90.00 90.00 90.00
Element x y z (fractional)
Pb 0.500 0.500 0.771
Rh 0.000 0.000 0.014
W 0.000 0.000 0.444
Rh 0.500 0.500 0.271

AlTl2Sb after structural relaxation. Source: the Alexandria database, functional GGA-PBE.

abc: 3.774 3.774 7.934
angles: 90.00 90.00 90.00
Element x y z (fractional)
Al 0.000 0.000 0.540
Tl 0.500 0.500 0.289
Sb 0.500 0.500 0.699
Tl 0.000 0.000 0.973

Results
- uncorrected formation energy (meV/atom) = 78
- energy above the most stable polymorph in this dataset (meV per atom) = 0

TbLuMgAl after structural relaxation. Source: the Alexandria database, functional GGA-PBE.

abc: 5.155 5.155 5.155
angles: 60.00 60.00 60.00
Element x y z (fractional)
Lu 0.000 0.000 0.000
Tb 0.500 0.500 0.500
Mg 0.750 0.750 0.750
Al 0.250 0.250 0.250

Pm4MgPb3 after structural relaxation. Source: the Alexandria database, functional GGA-PBE.

abc: 4.608 4.537 11.959
angles: 90.00 90.00 90.00
Element x y z (fractional)
Pb 0.000 0.500 0.597
Pm 0.000 0.000 0.138
Pb 0.000 0.000 0.406
Pb 0.500 0.000 0.915
Pm 0.000 0.500 0.864
Pm 0.500 0.500 0.366
Pm 0.500 0.000 0.636
Mg 0.500 0.500 0.078

Computed electronic total energy (eV/f.u.) in order:
-33.99, -65.31, -28.47, -33.36, -29.97, -12.28, -15.52, -35.09